w:
# YErTm4 (PBE, relaxed)
data_YErTm4
_cell_length_a 3.5085
_cell_length_b 9.2640
_cell_length_c 10.5077
_cell_angle_alpha 145.01
_cell_angle_beta 70.53
_cell_angle_gamma 100.96
_symmetry_space_group_name_H-M 'P 1'
_symmetry_Int_Tables_number 1
_symmetry_space_group_name_Hall 'P 1'
loop_
_atom_site_label
_atom_site_fract_x
_atom_site_fract_y
_atom_site_fract_z
Y1 0.0000 0.0000 0.0000
Er1 0.5000 0.0000 0.5000
Tm1 0.8349 0.6654 0.4976
Tm2 0.1651 0.3345 0.5023
Tm3 0.3320 0.6659 0.0008
Tm4 0.6679 0.3341 0.9992
# Total magnetic moment ... 0.0 Bohr magnetons per cell

---

x:
# YErTm4 (PBE, relaxed)
data_YErTm4
_cell_length_a 6.3742
_cell_length_b 8.8434
_cell_length_c 8.4354
_cell_angle_alpha 112.20
_cell_angle_beta 100.07
_cell_angle_gamma 112.79
_symmetry_space_group_name_H-M 'P 1'
_symmetry_Int_Tables_number 1
_symmetry_space_group_name_Hall 'P 1'
loop_
_atom_site_label
_atom_site_fract_x
_atom_site_fract_y
_atom_site_fract_z
Y1 0.3357 0.5857 0.1715
Y2 0.6643 0.4143 0.8285
Er1 0.2486 0.9986 0.9973
Er2 0.7514 0.0014 0.0027
Tm1 0.0424 0.1640 0.7375
Tm2 0.7436 0.7106 0.6096
Tm3 0.1951 0.5735 0.7375
Tm4 0.3660 0.8990 0.6096
Tm5 0.6340 0.1010 0.3904
Tm6 0.8049 0.4265 0.2625
Tm7 0.2564 0.2894 0.3904
Tm8 0.9576 0.8360 0.2625
# Total magnetic moment ... 0.0 Bohr magnetons per cell

---

Most stable of them? w.

---

w:
# Y2Er7Tm (PBE, relaxed)
data_Y2Er7Tm
_cell_length_a 3.4718
_cell_length_b 15.0328
_cell_length_c 15.0329
_cell_angle_alpha 156.68
_cell_angle_beta 90.07
_cell_angle_gamma 90.08
_symmetry_space_group_name_H-M 'P 1'
_symmetry_Int_Tables_number 1
_symmetry_space_group_name_Hall 'P 1'
loop_
_atom_site_label
_atom_site_fract_x
_atom_site_fract_y
_atom_site_fract_z
Y1 0.5000 0.7923 0.2077
Y2 0.5000 0.2077 0.7923
Er1 0.0000 0.6903 0.3097
Er2 0.0000 0.3097 0.6903
Er3 0.2700 0.1460 0.3442
Er4 0.7300 0.8540 0.6558
Er5 0.2700 0.3442 0.1460
Er6 0.7300 0.6558 0.8540
Er7 0.5000 0.5000 0.5000
Tm1 0.0000 0.0000 0.0000
# Total magnetic moment ... 0.0 Bohr magnetons per cell

---

x:
# Y2Er7Tm (PBE, relaxed)
data_Y2Er7Tm
_cell_length_a 3.4886
_cell_length_b 14.5787
_cell_length_c 14.5787
_cell_angle_alpha 154.68
_cell_angle_beta 90.00
_cell_angle_gamma 90.00
_symmetry_space_group_name_H-M 'P 1'
_symmetry_Int_Tables_number 1
_symmetry_space_group_name_Hall 'P 1'
loop_
_atom_site_label
_atom_site_fract_x
_atom_site_fract_y
_atom_site_fract_z
Y1 0.5000 0.7092 0.2908
Y2 0.5000 0.2908 0.7092
Er1 0.0000 0.8153 0.1847
Er2 0.0000 0.1847 0.8153
Er3 0.5000 0.1485 0.3447
Er4 0.5000 0.8515 0.6553
Er5 0.5000 0.3447 0.1485
Er6 0.5000 0.6553 0.8515
Er7 0.5000 0.5000 0.5000
Tm1 0.0000 0.0000 0.0000
# Total magnetic moment ... 0.0 Bohr magnetons per cell

---

Most stable of them? w.

---

w:
# Y2Er4Tm (PBE, relaxed)
data_Y2Er4Tm
_cell_length_a 6.1936
_cell_length_b 6.4444
_cell_length_c 11.3910
_cell_angle_alpha 90.00
_cell_angle_beta 105.57
_cell_angle_gamma 90.00
_symmetry_space_group_name_H-M 'P 1'
_symmetry_Int_Tables_number 1
_symmetry_space_group_name_Hall 'P 1'
loop_
_atom_site_label
_atom_site_fract_x
_atom_site_fract_y
_atom_site_fract_z
Y1 0.6134 0.7500 0.9962
Y2 0.3866 0.2500 0.0038
Y3 0.2957 0.2500 0.4250
Y4 0.7043 0.7500 0.5750
Er1 0.6586 0.5030 0.2873
Er2 0.0335 0.7500 0.8625
Er3 0.9665 0.2500 0.1375
Er4 0.6586 0.9970 0.2873
Er5 0.8606 0.2500 0.5545
Er6 0.3414 0.0030 0.7127
Er7 0.3414 0.4970 0.7127
Er8 0.1394 0.7500 0.4455
Tm1 0.1666 0.7500 0.1634
Tm2 0.8334 0.2500 0.8366
# Total magnetic moment ... 0.0 Bohr magnetons per cell

---

x:
# Y2Er4Tm (PBE, relaxed)
data_Y2Er4Tm
_cell_length_a 3.5817
_cell_length_b 3.5819
_cell_length_c 19.7678
_cell_angle_alpha 95.18
_cell_angle_beta 90.00
_cell_angle_gamma 120.00
_symmetry_space_group_name_H-M 'P 1'
_symmetry_Int_Tables_number 1
_symmetry_space_group_name_Hall 'P 1'
loop_
_atom_site_label
_atom_site_fract_x
_atom_site_fract_y
_atom_site_fract_z
Y1 0.6195 0.2389 0.0939
Y2 0.7146 0.4292 0.3824
Er1 0.9047 0.8093 0.9501
Er2 0.4292 0.8585 0.5273
Er3 0.0003 0.0006 0.2377
Er4 0.5236 0.0471 0.8087
Tm1 0.8096 0.6192 0.6680
# Total magnetic moment ... 0.1 Bohr magnetons per cell

---

Most stable of them? x.

---

w:
# Y12Er2Tm5 (PBE, relaxed)
data_Y12Er2Tm5
_cell_length_a 8.9120
_cell_length_b 9.2085
_cell_length_c 8.5748
_cell_angle_alpha 91.74
_cell_angle_beta 90.00
_cell_angle_gamma 118.94
_symmetry_space_group_name_H-M 'P 1'
_symmetry_Int_Tables_number 1
_symmetry_space_group_name_Hall 'P 1'
loop_
_atom_site_label
_atom_site_fract_x
_atom_site_fract_y
_atom_site_fract_z
Y1 0.8408 0.6815 0.1286
Y2 0.0168 0.6299 0.7775
Y3 0.6131 0.6299 0.7775
Y4 0.1898 0.7831 0.3866
Y5 0.5932 0.7831 0.3866
Y6 0.4453 0.8905 0.7266
Y7 0.5547 0.1095 0.2734
Y8 0.8102 0.2169 0.6134
Y9 0.4068 0.2169 0.6134
Y10 0.9832 0.3701 0.2225
Y11 0.3869 0.3701 0.2225
Y12 0.1592 0.3185 0.8714
Er1 0.7815 0.0000 0.0000
Er2 0.2185 0.0000 0.0000
Tm1 0.2414 0.4829 0.5521
Tm2 0.3515 0.7031 0.0551
Tm3 0.0000 0.0000 0.5000
Tm4 0.6485 0.2969 0.9449
Tm5 0.7586 0.5171 0.4479
# Total magnetic moment ... 0.0 Bohr magnetons per cell

---

x:
# Y12Er2Tm5 (PBE, relaxed)
data_Y12Er2Tm5
_cell_length_a 6.2473
_cell_length_b 12.0378
_cell_length_c 12.1935
_cell_angle_alpha 137.47
_cell_angle_beta 88.31
_cell_angle_gamma 99.91
_symmetry_space_group_name_H-M 'P 1'
_symmetry_Int_Tables_number 1
_symmetry_space_group_name_Hall 'P 1'
loop_
_atom_site_label
_atom_site_fract_x
_atom_site_fract_y
_atom_site_fract_z
Y1 0.0873 0.2146 0.3733
Y2 0.2411 0.8253 0.0355
Y3 0.7330 0.7430 0.1017
Y4 0.1670 0.4669 0.2945
Y5 0.6923 0.5739 0.2387
Y6 0.4586 0.9010 0.5730
Y7 0.5414 0.0990 0.4270
Y8 0.8330 0.5331 0.7055
Y9 0.3077 0.4261 0.7613
Y10 0.7589 0.1747 0.9645
Y11 0.2670 0.2570 0.8983
Y12 0.9127 0.7854 0.6267
Er1 0.7449 0.9383 0.0044
Er2 0.2551 0.0617 0.9956
Tm1 0.3700 0.6557 0.6633
Tm2 0.2117 0.6627 0.1733
Tm3 0.0000 0.0000 0.5000
Tm4 0.7883 0.3373 0.8267
Tm5 0.6300 0.3443 0.3367
# Total magnetic moment ... 0.0 Bohr magnetons per cell

---

Most stable of them? x.